{"formula": "Pr12Nd2Sm5", "functional": "PBE-GGA", "state": "optimized geometry", "lattice_angstrom": [[9.161, -5.966, 0.000], [9.161, 5.966, 0.000], [-1.401, 0.000, 6.184]], "species": ["Pr", "Pr", "Pr", "Pr", "Pr", "Pr", "Pr", "Pr", "Pr", "Pr", "Pr", "Pr", "Nd", "Nd", "Sm", "Sm", "Sm", "Sm", "Sm"], "frac_coords": [[0.044, 0.559, 0.799], [0.055, 0.055, 0.274], [0.144, 0.649, 0.384], [0.351, 0.856, 0.616], [0.378, 0.378, 0.005], [0.441, 0.956, 0.201], [0.559, 0.044, 0.799], [0.622, 0.622, 0.995], [0.649, 0.144, 0.384], [0.856, 0.351, 0.616], [0.945, 0.945, 0.726], [0.956, 0.441, 0.201], [0.273, 0.727, 0.000], [0.727, 0.273, 0.000], [0.177, 0.177, 0.856], [0.287, 0.287, 0.452], [0.500, 0.500, 0.500], [0.713, 0.713, 0.548], [0.823, 0.823, 0.144]], "formation_energy_kj_per_mol_atoms": 8.6, "total_magnetization_mub_per_cell": 0.00, "volume_a3_per_fu": 676, "spacegroup": "No. 12"}



{"formula": "RbGe2Br6", "functional": "PBE-GGA", "state": "optimized geometry", "lattice_angstrom": [[6.829, -2.555, 0.000], [6.829, 2.555, 0.000], [-4.853, 0.000, 10.242]], "species": ["Rb", "Ge", "Ge", "Br", "Br", "Br", "Br", "Br", "Br"], "frac_coords": [[0.000, 0.000, 0.000], [0.179, 0.179, 0.667], [0.821, 0.821, 0.333], [0.009, 0.009, 0.687], [0.305, 0.305, 0.386], [0.308, 0.308, 0.901], [0.692, 0.692, 0.099], [0.695, 0.695, 0.614], [0.991, 0.991, 0.313]], "total_magnetization_mub_per_cell": 0.00, "volume_a3_per_fu": 357, "energy_ev_per_cell": -27.46, "spacegroup": "No. 12"}



{"formula": "Mg2AlPN", "functional": "PBE-GGA", "state": "optimized geometry", "lattice_angstrom": [[5.380, 0.000, 0.000], [0.000, 5.380, 0.000], [0.000, 0.000, 3.441]], "species": ["Mg", "Mg", "Al", "P", "N"], "frac_coords": [[0.000, 0.500, 0.000], [0.500, 0.000, 0.000], [0.000, 0.000, 0.000], [0.500, 0.500, 0.500], [0.000, 0.000, 0.500]], "total_magnetization_mub_per_cell": 0.00, "volume_a3_per_fu": 100, "energy_ev_per_cell": -18.28, "spacegroup": "No. 123"}



{"formula": "La5Mg4Cu4", "functional": "PBE-GGA", "state": "optimized geometry", "lattice_angstrom": [[-5.847, 5.847, 2.370], [5.847, -5.847, 2.370], [5.847, 5.847, -2.370]], "species": ["La", "La", "La", "La", "La", "Mg", "Mg", "Mg", "Mg", "Cu", "Cu", "Cu", "Cu"], "frac_coords": [[0.000, 0.000, 0.000], [0.294, 0.373, 0.666], [0.373, 0.706, 0.079], [0.627, 0.294, 0.921], [0.706, 0.627, 0.334], [0.101, 0.584, 0.685], [0.416, 0.101, 0.517], [0.584, 0.899, 0.483], [0.899, 0.416, 0.315], [0.067, 0.257, 0.324], [0.257, 0.933, 0.189], [0.743, 0.067, 0.811], [0.933, 0.743, 0.676]], "formation_energy_kj_per_mol_atoms": -11.8, "total_magnetization_mub_per_cell": 0.00, "volume_a3_per_fu": 324, "spacegroup": "No. 87"}



{"formula": "LaTbHo", "functional": "PBE-GGA", "state": "optimized geometry", "lattice_angstrom": [[3.614, 0.000, 0.000], [-1.807, 3.130, 0.000], [0.000, 0.000, 8.818]], "species": ["La", "Tb", "Ho"], "frac_coords": [[0.000, 0.000, 0.000], [0.333, 0.667, 0.659], [0.667, 0.333, 0.337]], "formation_energy_kj_per_mol_atoms": 2.0, "total_magnetization_mub_per_cell": 0.00, "volume_a3_per_fu": 100, "spacegroup": "No. 156", "relative_energy_ev_per_atom": 0.000}



{"formula": "Cs4SiTe4", "functional": "PBE-GGA", "state": "optimized geometry", "lattice_angstrom": [[15.355, 0.000, 0.000], [0.000, 15.355, 0.000], [0.000, 0.000, 15.355]], "species": ["Cs", "Cs", "Cs", "Cs", "Cs", "Cs", "Cs", "Cs", "Cs", "Cs", "Cs", "Cs", "Cs", "Cs", "Cs", "Cs", "Cs", "Cs", "Cs", "Cs", "Cs", "Cs", "Cs", "Cs", "Cs", "Cs", "Cs", "Cs", "Cs", "Cs", "Cs", "Cs", "Si", "Si", "Si", "Si", "Si", "Si", "Si", "Si", "Te", "Te", "Te", "Te", "Te", "Te", "Te", "Te", "Te", "Te", "Te", "Te", "Te", "Te", "Te", "Te", "Te", "Te", "Te", "Te", "Te", "Te", "Te", "Te", "Te", "Te", "Te", "Te", "Te", "Te", "Te", "Te"], "frac_coords": [[0.088, 0.132, 0.649], [0.088, 0.868, 0.351], [0.132, 0.351, 0.912], [0.132, 0.649, 0.088], [0.149, 0.149, 0.149], [0.149, 0.368, 0.412], [0.149, 0.632, 0.588], [0.149, 0.851, 0.851], [0.351, 0.088, 0.868], [0.351, 0.351, 0.649], [0.351, 0.649, 0.351], [0.351, 0.912, 0.132], [0.368, 0.412, 0.149], [0.368, 0.588, 0.851], [0.412, 0.149, 0.368], [0.412, 0.851, 0.632], [0.588, 0.149, 0.632], [0.588, 0.851, 0.368], [0.632, 0.412, 0.851], [0.632, 0.588, 0.149], [0.649, 0.088, 0.132], [0.649, 0.351, 0.351], [0.649, 0.649, 0.649], [0.649, 0.912, 0.868], [0.851, 0.149, 0.851], [0.851, 0.368, 0.588], [0.851, 0.632, 0.412], [0.851, 0.851, 0.149], [0.868, 0.351, 0.088], [0.868, 0.649, 0.912], [0.912, 0.132, 0.351], [0.912, 0.868, 0.649], [0.000, 0.000, 0.000], [0.000, 0.500, 0.250], [0.000, 0.500, 0.750], [0.250, 0.000, 0.500], [0.500, 0.250, 0.000], [0.500, 0.500, 0.500], [0.500, 0.750, 0.000], [0.750, 0.000, 0.500], [0.092, 0.395, 0.660], [0.092, 0.605, 0.340], [0.096, 0.096, 0.904], [0.096, 0.904, 0.096], [0.105, 0.408, 0.160], [0.105, 0.592, 0.840], [0.160, 0.105, 0.408], [0.160, 0.895, 0.592], [0.340, 0.092, 0.605], [0.340, 0.908, 0.395], [0.395, 0.340, 0.908], [0.395, 0.660, 0.092], [0.404, 0.404, 0.404], [0.404, 0.596, 0.596], [0.408, 0.160, 0.105], [0.408, 0.840, 0.895], [0.592, 0.160, 0.895], [0.592, 0.840, 0.105], [0.596, 0.404, 0.596], [0.596, 0.596, 0.404], [0.605, 0.340, 0.092], [0.605, 0.660, 0.908], [0.660, 0.092, 0.395], [0.660, 0.908, 0.605], [0.840, 0.105, 0.592], [0.840, 0.895, 0.408], [0.895, 0.408, 0.840], [0.895, 0.592, 0.160], [0.904, 0.096, 0.096], [0.904, 0.904, 0.904], [0.908, 0.395, 0.340], [0.908, 0.605, 0.660]], "total_magnetization_mub_per_cell": 0.00, "volume_a3_per_fu": 453, "spacegroup": "No. 218", "relative_energy_ev_per_atom": 0.000}



{"formula": "HoThS4", "functional": "PBE-GGA", "state": "optimized geometry", "lattice_angstrom": [[6.760, 0.000, 0.000], [0.000, 6.669, 0.000], [-0.402, 0.000, 6.800]], "species": ["Ho", "Ho", "Th", "Th", "S", "S", "S", "S", "S", "S", "S", "S"], "frac_coords": [[0.000, 0.000, 0.000], [0.000, 0.500, 0.500], [0.500, 0.000, 0.500], [0.500, 0.500, 0.000], [0.124, 0.128, 0.631], [0.124, 0.372, 0.131], [0.353, 0.642, 0.645], [0.353, 0.858, 0.145], [0.647, 0.142, 0.855], [0.647, 0.358, 0.355], [0.876, 0.628, 0.869], [0.876, 0.872, 0.369]], "total_magnetization_mub_per_cell": 1.98, "volume_a3_per_fu": 153, "energy_ev_per_cell": -75.83, "spacegroup": "No. 14"}



{"formula": "TaTlBr2", "functional": "PBE-GGA", "state": "optimized geometry", "lattice_angstrom": [[0.000, 3.723, 3.723], [3.723, 0.000, 3.723], [3.723, 3.723, 0.000]], "species": ["Ta", "Tl", "Br", "Br"], "frac_coords": [[0.000, 0.000, 0.000], [0.250, 0.250, 0.250], [0.500, 0.500, 0.500], [0.750, 0.750, 0.750]], "total_magnetization_mub_per_cell": 3.74, "volume_a3_per_fu": 103, "spacegroup": "No. 216", "relative_energy_ev_per_atom": 1.050}



{"formula": "NaCo3Si", "functional": "PBE-GGA", "state": "optimized geometry", "lattice_angstrom": [[4.320, 0.000, 0.000], [0.000, 4.320, 0.000], [0.000, 0.000, 4.320]], "species": ["Na", "Co", "Co", "Co", "Si"], "frac_coords": [[0.000, 0.000, 0.000], [0.000, 0.500, 0.500], [0.500, 0.000, 0.500], [0.500, 0.500, 0.000], [0.500, 0.500, 0.500]], "total_magnetization_mub_per_cell": 3.92, "volume_a3_per_fu": 81, "spacegroup": "No. 221", "relative_energy_ev_per_atom": 0.000}



{"formula": "HgRh2Pb", "functional": "PBE-GGA", "state": "optimized geometry", "lattice_angstrom": [[3.222, 0.000, 0.000], [0.000, 3.222, 0.000], [0.000, 0.000, 7.783]], "species": ["Hg", "Rh", "Rh", "Pb"], "frac_coords": [[0.000, 0.000, 0.000], [0.000, 0.000, 0.601], [0.500, 0.500, 0.768], [0.500, 0.500, 0.354]], "formation_energy_kj_per_mol_atoms": 18.5, "total_magnetization_mub_per_cell": 0.00, "volume_a3_per_fu": 81, "spacegroup": "No. 99"}



{"formula": "ZnFeP", "functional": "PBE-GGA", "state": "optimized geometry", "lattice_angstrom": [[3.721, 0.000, 0.000], [-1.861, 3.223, 0.000], [0.000, 0.000, 3.300]], "species": ["Zn", "Fe", "P"], "frac_coords": [[0.000, 0.000, 0.000], [0.667, 0.333, 0.500], [0.333, 0.667, 0.500]], "formation_energy_kj_per_mol_atoms": -6.9, "total_magnetization_mub_per_cell": 0.00, "volume_a3_per_fu": 40, "spacegroup": "No. 187"}



{"formula": "RbSnAs", "functional": "PBE-GGA", "state": "optimized geometry", "lattice_angstrom": [[4.222, 0.000, 0.000], [-2.100, 7.163, 0.000], [-0.243, -3.122, 7.498]], "species": ["Rb", "Rb", "Sn", "Sn", "As", "As"], "frac_coords": [[0.123, 0.214, 0.295], [0.877, 0.786, 0.705], [0.370, 0.730, 0.107], [0.630, 0.270, 0.893], [0.199, 0.424, 0.763], [0.801, 0.576, 0.237]], "formation_energy_kj_per_mol_atoms": -32.2, "total_magnetization_mub_per_cell": 0.00, "volume_a3_per_fu": 113, "spacegroup": "No. 2"}



{"formula": "Eu2SiAg", "functional": "PBE-GGA", "state": "optimized geometry", "lattice_angstrom": [[5.362, 0.000, 0.000], [0.000, 5.362, 0.000], [0.000, 0.000, 3.612]], "species": ["Eu", "Eu", "Si", "Ag"], "frac_coords": [[0.000, 0.500, 0.000], [0.500, 0.000, 0.000], [0.000, 0.000, 0.500], [0.500, 0.500, 0.500]], "total_magnetization_mub_per_cell": 13.91, "volume_a3_per_fu": 104, "energy_ev_per_cell": -30.18, "spacegroup": "No. 123"}



{"formula": "Pm2Sm2Dy4Y", "functional": "PBE-GGA", "state": "optimized geometry", "lattice_angstrom": [[9.400, -1.811, 0.000], [9.400, 1.811, 0.000], [-4.183, 0.000, 8.676]], "species": ["Pm", "Pm", "Sm", "Sm", "Dy", "Dy", "Dy", "Dy", "Y"], "frac_coords": [[0.166, 0.166, 0.001], [0.834, 0.834, 0.999], [0.353, 0.353, 0.336], [0.647, 0.647, 0.664], [0.019, 0.019, 0.333], [0.315, 0.315, 0.665], [0.685, 0.685, 0.335], [0.981, 0.981, 0.667], [0.500, 0.500, 0.000]], "formation_energy_kj_per_mol_atoms": 0.2, "total_magnetization_mub_per_cell": 0.00, "volume_a3_per_fu": 295, "spacegroup": "No. 12"}



{"formula": "Mg2ScRh", "functional": "PBE-GGA", "state": "optimized geometry", "lattice_angstrom": [[1.549, 0.895, 9.443], [-1.549, 0.895, 9.443], [0.000, -1.789, 9.443]], "species": ["Mg", "Mg", "Sc", "Rh"], "frac_coords": [[0.236, 0.236, 0.236], [0.764, 0.764, 0.764], [0.000, 0.000, 0.000], [0.500, 0.500, 0.500]], "formation_energy_kj_per_mol_atoms": -11.5, "total_magnetization_mub_per_cell": 0.72, "volume_a3_per_fu": 79, "spacegroup": "No. 166"}



{"formula": "Sc2RuCl", "functional": "PBE-GGA", "state": "optimized geometry", "lattice_angstrom": [[-2.952, 2.952, 5.846], [2.952, -2.952, 5.846], [2.952, 2.952, -5.846]], "species": ["Sc", "Sc", "Sc", "Sc", "Ru", "Ru", "Cl", "Cl"], "frac_coords": [[0.095, 0.625, 0.970], [0.375, 0.345, 0.470], [0.655, 0.125, 0.030], [0.875, 0.905, 0.530], [0.000, 0.000, 0.000], [0.750, 0.250, 0.500], [0.250, 0.750, 0.500], [0.500, 0.500, 0.000]], "total_magnetization_mub_per_cell": 0.00, "volume_a3_per_fu": 102, "spacegroup": "No. 122", "relative_energy_ev_per_atom": 0.669}



{"formula": "SbTePtN2", "functional": "PBE-GGA", "state": "optimized geometry", "lattice_angstrom": [[3.914, 0.000, 0.000], [0.000, 3.914, 0.000], [0.000, 0.000, 7.132]], "species": ["Sb", "Te", "Pt", "N", "N"], "frac_coords": [[0.000, 0.000, 0.000], [0.000, 0.000, 0.500], [0.500, 0.500, 0.500], [0.000, 0.500, 0.000], [0.500, 0.000, 0.000]], "total_magnetization_mub_per_cell": 0.60, "volume_a3_per_fu": 109, "spacegroup": "No. 123", "relative_energy_ev_per_atom": 0.034}



{"formula": "GePb3Au3", "functional": "PBE-GGA", "state": "optimized geometry", "lattice_angstrom": [[3.554, -4.934, 0.000], [3.554, 4.934, 0.000], [-0.207, 0.000, 9.872]], "species": ["Ge", "Ge", "Pb", "Pb", "Pb", "Pb", "Pb", "Pb", "Au", "Au", "Au", "Au", "Au", "Au"], "frac_coords": [[0.175, 0.175, 0.171], [0.825, 0.825, 0.829], [0.163, 0.837, 0.500], [0.308, 0.692, 0.000], [0.421, 0.421, 0.659], [0.579, 0.579, 0.341], [0.692, 0.308, 0.000], [0.837, 0.163, 0.500], [0.041, 0.506, 0.266], [0.180, 0.180, 0.901], [0.494, 0.959, 0.734], [0.506, 0.041, 0.266], [0.820, 0.820, 0.099], [0.959, 0.494, 0.734]], "formation_energy_kj_per_mol_atoms": -2.5, "total_magnetization_mub_per_cell": 0.00, "volume_a3_per_fu": 173, "spacegroup": "No. 12"}



{"formula": "Ba3Bi3Au8", "functional": "PBE-GGA", "state": "optimized geometry", "lattice_angstrom": [[9.148, -2.426, 0.000], [9.148, 2.426, 0.000], [-5.558, 0.000, 8.700]], "species": ["Ba", "Ba", "Ba", "Bi", "Bi", "Bi", "Au", "Au", "Au", "Au", "Au", "Au", "Au", "Au"], "frac_coords": [[0.000, 0.000, 0.000], [0.303, 0.303, 0.349], [0.697, 0.697, 0.651], [0.000, 0.000, 0.500], [0.326, 0.326, 0.978], [0.674, 0.674, 0.022], [0.116, 0.116, 0.376], [0.133, 0.133, 0.839], [0.361, 0.361, 0.738], [0.491, 0.491, 0.293], [0.509, 0.509, 0.707], [0.639, 0.639, 0.262], [0.867, 0.867, 0.161], [0.884, 0.884, 0.624]], "formation_energy_kj_per_mol_atoms": -48.5, "total_magnetization_mub_per_cell": 0.00, "volume_a3_per_fu": 386, "spacegroup": "No. 12", "relative_energy_ev_per_atom": 0.000}



{"formula": "YCu2AgSn", "functional": "PBE-GGA", "state": "optimized geometry", "lattice_angstrom": [[4.764, 0.000, 0.000], [0.000, 4.764, 0.000], [0.000, 0.000, 5.401]], "species": ["Y", "Cu", "Cu", "Ag", "Sn"], "frac_coords": [[0.000, 0.000, 0.000], [0.000, 0.500, 0.500], [0.500, 0.000, 0.500], [0.000, 0.000, 0.500], [0.500, 0.500, 0.000]], "formation_energy_kj_per_mol_atoms": 39.8, "total_magnetization_mub_per_cell": 0.00, "volume_a3_per_fu": 123, "spacegroup": "No. 123"}